# PBE-GGA NaTb2Rh, optimized geometry
data_NaTb2Rh
_chemical_formula_sum 'Na3 Tb6 Rh3'
_space_group_name_H-M_alt 'R -3 m'
_space_group_IT_number 166
_space_group_name_Hall '-R 3 2"'
_cell_length_a 3.9517
_cell_length_b 3.9517
_cell_length_c 31.2128
_cell_angle_alpha 90.00
_cell_angle_beta 90.00
_cell_angle_gamma 120.00
loop_
_atom_site_label
_atom_site_type_symbol
_atom_site_fract_x
_atom_site_fract_y
_atom_site_fract_z
Na1 Na 0.0000 0.0000 0.0000
Tb1 Tb 0.0000 0.0000 0.1183
Rh1 Rh 0.0000 0.0000 0.5000
# - Formation enthalpy at 0 K: -1.15 eV per formula unit
# - Density of states at the Fermi level: 3.33 states/eV/f.u.